Entry 1:
{
  "formula": "Nd4YAl",
  "functional": "GGA-PBE",
  "state": "optimized geometry",
  "lattice": [[3.6247, 0.0000, 0.0000], [0.0000, 3.6247, 0.0000], [0.0000, 0.0000, 14.5188]],
  "species": ["Nd", "Nd", "Nd", "Nd", "Y", "Al"],
  "frac_coords": [[0.0000, 0.0000, 0.1357], [0.0000, 0.0000, 0.8643], [0.5000, 0.5000, 0.3215], [0.5000, 0.5000, 0.6785], [0.0000, 0.0000, 0.5000], [0.5000, 0.5000, 0.0000]],
  "polymorph_energy_ev_per_atom": 0.0000,
  "rho_g_cm3": 6.03,
  "space_group": "P4/mmm, No. 123"
}

---

Entry 2:
{
  "formula": "PmAg4Hg",
  "functional": "GGA-PBE",
  "state": "optimized geometry",
  "lattice": [[0.0000, 3.9755, 3.9755], [3.9755, 0.0000, 3.9755], [3.9755, 3.9755, 0.0000]],
  "species": ["Pm", "Ag", "Ag", "Ag", "Ag", "Hg"],
  "frac_coords": [[0.0000, 0.0000, 0.0000], [0.1260, 0.6246, 0.6246], [0.6246, 0.1260, 0.6246], [0.6246, 0.6246, 0.1260], [0.6246, 0.6246, 0.6246], [0.2500, 0.2500, 0.2500]],
  "rho_g_cm3": 10.27,
  "space_group": "F-43m, No. 216",
  "total_energy_ev_per_cell": -17.6
}

---

Entry 3:
{
  "formula": "Co2ReRh",
  "functional": "GGA-PBE",
  "state": "optimized geometry",
  "lattice": [[8.7073, 0.0000, 0.0000], [0.0000, 2.6509, 0.0000], [-0.8370, 0.0000, 4.3991]],
  "species": ["Co", "Co", "Co", "Co", "Re", "Re", "Rh", "Rh"],
  "frac_coords": [[0.0000, 0.0000, 0.0000], [0.2417, 0.5000, 0.2297], [0.5000, 0.5000, 0.0000], [0.7417, 0.0000, 0.2297], [0.4923, 0.0000, 0.4789], [0.9923, 0.5000, 0.4789], [0.2475, 0.0000, 0.7386], [0.7475, 0.5000, 0.7386]],
  "polymorph_energy_ev_per_atom": 0.0283,
  "rho_g_cm3": 13.31,
  "space_group": "Cm, No. 8"
}